5
Lattice="-0.306 4.459 3.776 -1.393 -1.982 2.227 5.292 -1.391 2.072" Properties=species:S:1:pos:R:3 comment="Ba2BBrN PBE-GGA optimized geometry" total_energy_ev_per_atom=-4.49 e_form_raw_ev_per_atom=-0.3887 crystal_system=tetragonal pbc="T T T"
B -0.697 -0.991 1.114
Ba 2.646 -0.696 1.036
Ba -0.153 2.229 1.888
Br 1.796 0.543 4.038
N 0.000 0.000 0.000